VASP calculation (GGA-PBE) on an optimized crystal structure of Na2TaIr3O12.

Space-group type: No. 166
ΔE_f (raw): -1.19 eV per atom

Lattice parameters (Å, degrees): 7.341 7.341 7.341 58.67 58.67 58.67
Fractional positions:
Na1 0.188 0.188 0.188
Na2 0.812 0.812 0.812
Ta1 0.500 0.500 0.500
Ir1 0.000 0.500 0.500
Ir2 0.500 0.000 0.500
Ir3 0.500 0.500 0.000
O1 0.172 0.573 0.573
O2 0.186 0.186 0.573
O3 0.186 0.573 0.186
O4 0.427 0.427 0.828
O5 0.427 0.814 0.814
O6 0.427 0.828 0.427
O7 0.573 0.172 0.573
O8 0.573 0.186 0.186
O9 0.573 0.573 0.172
O10 0.814 0.427 0.814
O11 0.814 0.814 0.427
O12 0.828 0.427 0.427

VASP calculation (GGA-PBE) on an optimized crystal structure of Pm10Ga3Sb3.

Space-group type: No. 189
ΔE_f (raw): -0.69 eV per atom

Lattice parameters (Å, degrees): 9.046 9.046 6.695 90.00 90.00 120.00
Fractional positions:
Pm1 0.000 0.241 0.000
Pm2 0.000 0.759 0.500
Pm3 0.241 0.000 0.000
Pm4 0.241 0.241 0.500
Pm5 0.333 0.667 0.256
Pm6 0.333 0.667 0.744
Pm7 0.667 0.333 0.256
Pm8 0.667 0.333 0.744
Pm9 0.759 0.000 0.500
Pm10 0.759 0.759 0.000
Ga1 0.000 0.395 0.500
Ga2 0.395 0.000 0.500
Ga3 0.605 0.605 0.500
Sb1 0.000 0.606 0.000
Sb2 0.394 0.394 0.000
Sb3 0.606 0.000 0.000

VASP calculation (GGA-PBE) on an optimized crystal structure of SrAcHo2S4.

Space-group type: No. 10
ΔE_f (raw): -1.99 eV per atom

Lattice parameters (Å, degrees): 7.042 4.032 7.136 90.00 108.84 90.00
Fractional positions:
Sr1 0.000 0.000 0.000
Ac1 0.500 0.500 0.000
Ho1 0.000 0.500 0.500
Ho2 0.500 0.000 0.500
S1 0.236 0.000 0.722
S2 0.256 0.500 0.276
S3 0.744 0.500 0.724
S4 0.764 0.000 0.278

VASP calculation (GGA-PBE) on an optimized crystal structure of VZnRh.

Space-group type: No. 107
ΔE_f: 0.31 eV/atom

Lattice parameters (Å, degrees): 7.020 7.020 7.020 158.45 158.45 30.65
Fractional positions:
V1 0.000 0.000 0.000
Zn1 0.355 0.355 0.000
Rh1 0.165 0.165 0.000

VASP calculation (GGA-PBE) on an optimized crystal structure of CdMoBr4.

Space-group type: No. 216
ΔE_f (raw): 0.96 eV per atom

Lattice parameters (Å, degrees): 6.311 6.311 6.311 60.00 60.00 60.00
Fractional positions:
Cd1 0.000 0.000 0.000
Mo1 0.750 0.750 0.750
Br1 0.375 0.375 0.375
Br2 0.375 0.375 0.875
Br3 0.375 0.875 0.375
Br4 0.875 0.375 0.375

VASP calculation (GGA-PBE) on an optimized crystal structure of MnZn2Br.

Space-group type: No. 65
ΔE_f (raw): 0.24 eV per atom

Lattice parameters (Å, degrees): 5.034 5.034 3.309 90.00 90.00 116.46
Fractional positions:
Mn1 0.000 0.000 0.000
Zn1 0.000 0.500 0.500
Zn2 0.500 0.000 0.500
Br1 0.500 0.500 0.000

VASP calculation (GGA-PBE) on an optimized crystal structure of Rb3AcU2Te6.

Space-group type: No. 12
ΔE_f (raw): -1.04 eV per atom

Lattice parameters (Å, degrees): 8.085 8.085 9.015 98.62 98.62 120.01
Fractional positions:
Rb1 0.000 0.000 0.000
Rb2 0.337 0.663 0.000
Rb3 0.663 0.337 0.000
Ac1 0.500 0.500 0.500
U1 0.167 0.833 0.500
U2 0.833 0.167 0.500
Te1 0.082 0.431 0.294
Te2 0.219 0.219 0.705
Te3 0.431 0.082 0.294
Te4 0.569 0.918 0.706
Te5 0.781 0.781 0.295
Te6 0.918 0.569 0.706

VASP calculation (GGA-PBE) on an optimized crystal structure of Y2Be9Rh6.

Space-group type: No. 191
ΔE_f: -0.42 eV/atom

Lattice parameters (Å, degrees): 5.188 5.188 10.327 90.00 90.00 120.00
Fractional positions:
Y1 0.000 0.000 0.193
Y2 0.000 0.000 0.807
Be1 0.000 0.500 0.000
Be2 0.000 0.500 0.339
Be3 0.000 0.500 0.661
Be4 0.500 0.000 0.000
Be5 0.500 0.000 0.339
Be6 0.500 0.000 0.661
Be7 0.500 0.500 0.000
Be8 0.500 0.500 0.339
Be9 0.500 0.500 0.661
Rh1 0.333 0.667 0.172
Rh2 0.333 0.667 0.500
Rh3 0.333 0.667 0.828
Rh4 0.667 0.333 0.172
Rh5 0.667 0.333 0.500
Rh6 0.667 0.333 0.828

VASP calculation (GGA-PBE) on an optimized crystal structure of ScTaCu.

Space-group type: No. 63
ΔE_f: -0.06 eV/atom

Lattice parameters (Å, degrees): 7.504 7.504 4.535 90.00 90.00 155.29
Fractional positions:
Sc1 0.079 0.921 0.750
Sc2 0.921 0.079 0.250
Ta1 0.242 0.758 0.250
Ta2 0.758 0.242 0.750
Cu1 0.405 0.595 0.750
Cu2 0.595 0.405 0.250

VASP calculation (GGA-PBE) on an optimized crystal structure of ScAlAs.

Space-group type: No. 107
ΔE_f: -0.45 eV/atom

Lattice parameters (Å, degrees): 5.323 5.323 5.323 142.20 142.20 54.53
Fractional positions:
Sc1 0.000 0.000 0.000
Al1 0.693 0.693 0.000
As1 0.326 0.326 0.000

VASP calculation (GGA-PBE) on an optimized crystal structure of PaTlSeO6.

Space-group type: No. 163
ΔE_f (raw): -1.62 eV per atom

Lattice parameters (Å, degrees): 5.607 5.607 9.496 90.00 90.00 120.00
Fractional positions:
Pa1 0.333 0.667 0.250
Pa2 0.667 0.333 0.750
Tl1 0.000 0.000 0.000
Tl2 0.000 0.000 0.500
Se1 0.333 0.667 0.750
Se2 0.667 0.333 0.250
O1 0.017 0.358 0.635
O2 0.017 0.658 0.865
O3 0.342 0.358 0.865
O4 0.342 0.983 0.635
O5 0.358 0.017 0.135
O6 0.358 0.342 0.365
O7 0.642 0.658 0.635
O8 0.642 0.983 0.865
O9 0.658 0.017 0.365
O10 0.658 0.642 0.135
O11 0.983 0.342 0.135
O12 0.983 0.642 0.365

VASP calculation (GGA-PBE) on an optimized crystal structure of KGe.

Space-group type: No. 194
ΔE_f: 0.89 eV/atom

Lattice parameters (Å, degrees): 5.907 5.907 6.804 90.00 90.00 120.00
Fractional positions:
K1 0.333 0.667 0.250
K2 0.667 0.333 0.750
Ge1 0.333 0.667 0.750
Ge2 0.667 0.333 0.250

VASP calculation (GGA-PBE) on an optimized crystal structure of La3NdTm7.

Space-group type: No. 71
ΔE_f: 0.27 eV/atom

Lattice parameters (Å, degrees): 8.467 8.467 8.467 139.66 97.08 96.57
Fractional positions:
La1 0.000 0.000 0.000
La2 0.214 0.500 0.714
La3 0.786 0.500 0.286
Nd1 0.500 0.000 0.500
Tm1 0.017 0.211 0.806
Tm2 0.207 0.707 0.500
Tm3 0.405 0.211 0.194
Tm4 0.500 0.500 0.000
Tm5 0.595 0.789 0.806
Tm6 0.793 0.293 0.500
Tm7 0.983 0.789 0.194

VASP calculation (GGA-PBE) on an optimized crystal structure of Tm4TlCd2.

Space-group type: No. 166
ΔE_f: -0.13 eV/atom

Lattice parameters (Å, degrees): 8.909 8.909 8.909 33.79 33.79 33.79
Fractional positions:
Tm1 0.117 0.117 0.117
Tm2 0.370 0.370 0.370
Tm3 0.630 0.630 0.630
Tm4 0.883 0.883 0.883
Tl1 0.500 0.500 0.500
Cd1 0.249 0.249 0.249
Cd2 0.751 0.751 0.751

VASP calculation (GGA-PBE) on an optimized crystal structure of HoAlHg2.

Space-group type: No. 123
ΔE_f: -0.28 eV/atom

Lattice parameters (Å, degrees): 4.487 4.487 4.447 90.00 90.00 90.00
Fractional positions:
Ho1 0.000 0.000 0.000
Al1 0.500 0.500 0.000
Hg1 0.000 0.500 0.500
Hg2 0.500 0.000 0.500

VASP calculation (GGA-PBE) on an optimized crystal structure of TaNi2H.

Space-group type: No. 225
E_tot: -6.183 eV/atom

Lattice parameters (Å, degrees): 4.068 4.068 4.068 60.00 60.00 60.00
Fractional positions:
Ta1 0.000 0.000 0.000
Ni1 0.250 0.250 0.250
Ni2 0.750 0.750 0.750
H1 0.500 0.500 0.500

VASP calculation (GGA-PBE) on an optimized crystal structure of LaFeBiSe2.

Space-group type: No. 123
ΔE_f (raw): 0.50 eV per atom

Lattice parameters (Å, degrees): 5.619 5.619 6.453 90.00 90.00 90.00
Fractional positions:
La1 0.000 0.000 0.000
Fe1 0.500 0.500 0.500
Bi1 0.000 0.000 0.500
Se1 0.000 0.500 0.000
Se2 0.500 0.000 0.000

VASP calculation (GGA-PBE) on an optimized crystal structure of DyY2Ho2Mg5.

Space-group type: No. 127
ΔE_f: 0.08 eV/atom

Lattice parameters (Å, degrees): 10.587 10.587 5.048 90.00 90.00 90.00
Fractional positions:
Dy1 0.000 0.000 0.000
Dy2 0.500 0.500 0.000
Y1 0.178 0.322 0.000
Y2 0.322 0.822 0.000
Y3 0.678 0.178 0.000
Y4 0.822 0.678 0.000
Ho1 0.118 0.618 0.000
Ho2 0.382 0.118 0.000
Ho3 0.618 0.882 0.000
Ho4 0.882 0.382 0.000
Mg1 0.000 0.500 0.500
Mg2 0.069 0.802 0.500
Mg3 0.198 0.069 0.500
Mg4 0.302 0.569 0.500
Mg5 0.431 0.302 0.500
Mg6 0.500 0.000 0.500
Mg7 0.569 0.698 0.500
Mg8 0.698 0.431 0.500
Mg9 0.802 0.931 0.500
Mg10 0.931 0.198 0.500

VASP calculation (GGA-PBE) on an optimized crystal structure of Nb2VFe.

Space-group type: No. 122
ΔE_f: 0.49 eV/atom

Lattice parameters (Å, degrees): 5.583 5.583 5.583 103.16 103.16 123.00
Fractional positions:
Nb1 0.102 0.125 0.477
Nb2 0.375 0.898 0.023
Nb3 0.648 0.625 0.523
Nb4 0.875 0.352 0.977
V1 0.250 0.750 0.500
V2 0.500 0.500 0.000
Fe1 0.000 0.000 0.000
Fe2 0.750 0.250 0.500

VASP calculation (GGA-PBE) on an optimized crystal structure of Sr3Tl.

Space-group type: No. 10
ΔE_f: -0.11 eV/atom

Lattice parameters (Å, degrees): 4.194 5.643 7.710 90.00 103.21 90.00
Fractional positions:
Sr1 0.000 0.000 0.000
Sr2 0.386 0.500 0.720
Sr3 0.614 0.500 0.280
Tl1 0.000 0.000 0.500